LaTaO4 (PBEsol, optimized geometry); crystal system = orthorhombic; raw total energy = -9.739 eV per atom; ρ = 7.9 g/cm³; E_form (uncorrected) = -19.540 eV/f.u.; space group = Cmc2_1
1.0
-2.1019 3.3337 -0.1796
-4.1082 -2.7325 -2.6421
-2.0420 -3.2685 6.5554
La Ta O
2 2 8
Cartesian
-3.7626 0.1609 3.6918
-3.8159 -2.3803 0.4750
-2.4728 0.7992 0.4448
-5.5087 -3.2866 3.4629
-6.6804 -1.7021 3.2577
-1.5702 -0.9643 0.4769
-3.1458 -1.6649 5.9113
-3.5386 0.0402 -1.1694
-4.0328 -0.1346 1.3683
-5.6590 -3.4904 1.4395
-5.9638 -1.4504 -0.4570
-3.9086 -2.2947 3.1486



LaTaO4 (PBEsol, optimized geometry); crystal system = monoclinic; raw total energy = -9.749 eV per atom; ρ = 7.9 g/cm³; E_form (uncorrected) = -19.597 eV/f.u.; space group = P2_1/c
1.0
5.5272 0.0000 0.0000
0.0000 7.6246 0.0049
0.0000 -1.4846 7.6420
La Ta O
4 4 16
Cartesian
4.2710 3.6422 6.8943
1.5074 1.7554 4.5735
1.2562 2.4978 0.7525
4.0198 4.3845 3.0733
1.4751 5.3151 5.3369
4.2387 0.0825 6.1310
4.0521 0.8249 2.3100
1.2885 6.0574 1.5159
2.7082 4.8479 1.0409
5.4718 2.0343 2.7850
2.8190 1.2920 6.6060
0.0554 4.1056 4.8619
0.0746 4.4609 1.2789
2.8382 2.4214 2.5470
5.4526 1.6790 6.3680
2.6890 3.7186 5.0999
0.8905 4.9424 7.2374
3.6541 0.4552 4.2304
4.6367 1.1976 0.4094
1.8731 5.6847 3.4164
3.2350 6.0281 6.0747
0.4714 -0.6305 5.3931
2.2922 0.1118 1.5721
5.0558 6.7704 2.2537



LaTa3O9 (PBEsol, optimized geometry); crystal system = orthorhombic; excess energy over the best structure of this formula in the dataset = 0 meV per atom; raw total energy = -10.004 eV per atom; ρ = 8.7 g/cm³; E_form (uncorrected) = -39.810 eV/f.u.; space group = Pnma
1.0
-0.5499 -5.3402 3.7436
3.1011 -4.2480 -5.6041
11.3962 2.1204 4.6989
La Ta O
4 12 36
Cartesian
6.1581 -0.3259 1.0196
0.7598 -3.9492 0.7790
7.7893 -7.1418 1.8187
13.1876 -3.5185 2.0594
4.3768 -5.7210 1.4648
5.3844 -5.3054 -3.5154
8.0340 0.3582 4.1504
10.0996 -4.2672 3.5769
9.5706 -1.7467 1.3736
8.5630 -2.1623 6.3537
5.9134 -7.8259 -1.3121
3.8478 -3.2005 -0.7385
1.5505 -2.1240 -2.8021
5.4231 -1.6099 4.2212
0.0000 0.0000 0.0000
6.9737 -3.7339 1.4192
10.2004 -2.7976 -0.1400
11.0445 -5.2595 2.1932
3.7470 -4.6701 2.9784
2.9029 -2.2082 0.6452
5.5374 -6.8507 0.3520
4.1923 -4.4821 -2.1878
8.4100 -0.6170 2.4864
9.7551 -2.9856 5.0262
7.9580 -5.0908 0.3574
13.4429 -1.4513 0.6338
5.9894 -2.3769 2.4810
0.5045 -6.0164 2.2046
5.2396 -1.8225 -0.7651
1.6318 -2.9054 2.8811
10.1265 -7.5885 1.0398
10.8970 -2.6190 2.5209
1.7832 -3.4512 -1.3798
4.8751 -3.3455 4.9461
13.5456 -5.9088 1.7219
7.6909 -2.2299 0.3885
12.1642 -4.0165 4.2182
9.0723 -4.1222 -2.1077
0.4018 -1.5590 1.1165
6.2565 -5.2378 2.4498
11.0378 -0.3196 1.4468
7.3051 -1.5563 4.8553
4.2443 -8.9765 -1.0205
5.3075 -4.0831 0.3952
2.9096 -7.1481 1.3916
6.6423 -5.9114 -2.0169
9.7030 1.5088 3.8588
8.6399 -3.3846 2.4432
3.0504 -4.8487 0.3174
3.8209 0.1208 1.7986
12.3156 -4.5623 -0.0428
8.7078 -5.6452 3.6035



LaTa3O9 (PBEsol, optimized geometry); crystal system = monoclinic; excess energy over the best structure of this formula in the dataset = 10 meV per atom; raw total energy = -9.994 eV per atom; ρ = 7.5 g/cm³; E_form (uncorrected) = -39.680 eV/f.u.; space group = C2/m
1.0
5.5416 0.0000 0.0000
2.7708 8.3196 -0.0034
2.7708 2.7701 7.9172
La Ta O
2 6 18
Cartesian
8.3123 8.2942 7.9084
2.7708 2.7955 0.0054
5.5416 8.3266 1.9879
5.5416 8.3609 5.8237
2.7708 5.6075 2.0466
8.3123 5.4823 5.8671
5.5416 2.7288 2.0900
5.5416 2.7631 5.9258
6.9796 9.6346 6.0790
5.5416 8.3115 3.9289
2.7708 0.0000 0.0000
6.9256 6.9297 6.1141
9.6450 9.6346 6.0790
6.8722 6.8730 1.8261
6.8722 4.2167 6.0877
4.1575 6.9297 6.1141
4.2109 6.8730 1.8261
2.7708 5.5449 3.9569
6.9256 4.1600 1.7996
5.5416 2.9205 0.0007
5.5416 8.1692 7.9131
4.2109 4.2167 6.0877
1.4381 1.4551 1.8348
4.1575 4.1600 1.7996
4.1035 1.4551 1.8348
5.5416 2.7783 3.9849



La3TaO7 (PBEsol, optimized geometry); crystal system = orthorhombic; excess energy over the best structure of this formula in the dataset = 24 meV per atom; raw total energy = -9.313 eV per atom; ρ = 7.1 g/cm³; E_form (uncorrected) = -37.105 eV/f.u.; space group = Cmmm
1.0
3.9408 0.0000 0.0000
0.0000 6.6987 -0.0278
0.0000 -2.3537 6.2717
La Ta O
3 1 7
Cartesian
0.0000 0.0000 0.0000
1.9704 3.3494 -0.0139
1.9704 -1.1768 3.1358
0.0000 2.1725 3.1219
1.9704 2.1725 3.1219
0.0000 2.4525 1.1356
0.0000 4.1324 3.5496
0.0000 1.8926 5.1083
0.0000 0.2127 2.6942
1.9704 -1.1797 5.4547
1.9704 5.5248 0.7891



La3TaO (PBEsol, optimized geometry); crystal system = cubic; raw total energy = -7.604 eV per atom; ρ = 8.5 g/cm³; E_form (uncorrected) = -4.180 eV/f.u.; space group = Pm-3m
1.0
4.9283 0.0000 0.0000
0.0000 4.9283 0.0000
0.0000 0.0000 4.9283
La O Ta
3 1 1
Cartesian
0.0000 2.4641 0.0000
0.0000 0.0000 2.4641
2.4641 0.0000 0.0000
0.0000 0.0000 0.0000
2.4641 2.4641 2.4641



La3TaTi2O11 (PBEsol, optimized geometry); crystal system = orthorhombic; raw total energy = -9.388 eV per atom; ρ = 6.6 g/cm³; E_form (uncorrected) = -56.614 eV/f.u.; space group = Pmc2_1
1.0
3.9199 0.0000 0.0000
0.0000 5.5442 0.0000
0.0000 0.0000 20.0781
La Ta Ti O
6 2 4 22
Cartesian
1.9600 4.6022 2.5434
1.9600 1.8301 17.5347
0.0000 1.7831 4.8608
0.0000 4.5552 15.2173
0.0000 1.3340 11.3847
0.0000 4.1061 8.6934
0.0000 1.5737 1.2658
0.0000 4.3458 18.8123
1.9600 1.5350 14.1615
1.9600 4.3071 5.9166
1.9600 1.3562 8.5213
1.9600 4.1282 11.5568
0.0000 0.4131 2.9391
0.0000 3.1852 17.1390
1.9600 2.4123 7.0710
1.9600 5.1844 13.0071
0.0000 5.2068 0.4573
0.0000 2.4347 19.6208
1.9600 0.2445 4.8868
1.9600 3.0166 15.1913
1.9600 0.0696 10.3185
1.9600 2.8417 9.7596
1.9600 1.3889 1.2987
1.9600 4.1610 18.7794
0.0000 3.0786 2.4368
0.0000 0.3065 17.6413
1.9600 3.1180 4.4489
1.9600 0.3459 15.6292
0.0000 4.0833 6.1471
0.0000 1.3112 13.9310
0.0000 1.2041 8.7916
0.0000 3.9762 11.2865
1.9600 2.3508 12.3722
1.9600 5.1229 7.7059